{
  "formula": "CaC",
  "functional": "PBE-GGA",
  "state": "relaxed",
  "dft_energy_ev_per_atom": -4.515,
  "space_group": "No. 221",
  "delta_e_f_ev_per_atom": 1.0979,
  "magnetic_moment_mub_per_fu": 0.001,
  "lattice": [[-2.937, -0.784, 0.738], [-0.635, -0.470, -3.026], [0.869, -2.991, 0.282]],
  "species": ["C", "Ca"],
  "frac_coords": [[0.500, 0.500, 0.500], [0.000, 0.000, 0.000]]
}